First-principles (PBE) data for a relaxed BaPPdO4 crystal, as listed in the Alexandria database.

Unit cell a=5.995 b=5.995 c=5.995 alpha=60.00 beta=60.00 gamma=60.00
Sites, in units of the cell vectors:
O (0.355, 0.355, 0.355)
O (0.935, 0.355, 0.355)
P (0.250, 0.250, 0.250)
O (0.355, 0.355, 0.935)
Ba (0.750, 0.750, 0.750)
Pd (0.500, 0.500, 0.500)
O (0.355, 0.935, 0.355)

Magnetic moment, Bohr magnetons per cell: 1.0
Energy relative to the elements, uncorrected, eV/atom: -1.6074